(1)
Here is crystalline KCrIn2Co at its relaxed geometry from Alexandria via LeMat-Bulk. Energies are from PBE.

Properties
**ΔH_f (0 K)**: 1.2733 eV per atom
**Crystal system**: tetragonal
**E**: -3.387 eV per atom

Geometry as CIF:
```
data_KCrIn2Co
_symmetry_space_group_name_H-M 'P 1'
_symmetry_Int_Tables_number 1
_symmetry_space_group_name_Hall 'P 1'
_cell_length_a 4.9589
_cell_length_b 5.2436
_cell_length_c 4.9589
_cell_angle_alpha 90.00
_cell_angle_beta 90.00
_cell_angle_gamma 90.00
loop_
_atom_site_label
_atom_site_fract_x
_atom_site_fract_y
_atom_site_fract_z
Cr1 0.5000 0.5000 0.5000
In1 0.0000 0.0000 0.5000
K1 0.0000 0.5000 0.0000
In2 0.5000 0.0000 0.0000
Co1 0.0000 0.0000 0.0000
```

---

(2)
Here is crystalline KCrInCo2 at its relaxed geometry from Alexandria via LeMat-Bulk. Energies are from PBE.

Properties
**ΔH_f (0 K)**: 2.6257 eV per atom
**Crystal system**: tetragonal
**E**: -2.908 eV per atom

Geometry as CIF:
```
data_KCrInCo2
_symmetry_space_group_name_H-M 'P 1'
_symmetry_Int_Tables_number 1
_symmetry_space_group_name_Hall 'P 1'
_cell_length_a 4.2219
_cell_length_b 5.3601
_cell_length_c 4.2219
_cell_angle_alpha 90.00
_cell_angle_beta 90.00
_cell_angle_gamma 90.00
loop_
_atom_site_label
_atom_site_fract_x
_atom_site_fract_y
_atom_site_fract_z
Co1 0.5000 0.0000 0.0000
In1 0.0000 0.5000 0.0000
Cr1 0.5000 0.5000 0.5000
Co2 0.0000 0.0000 0.5000
K1 0.0000 0.0000 0.0000
```

---

(3)
Here is crystalline MnCrInCo at its relaxed geometry from Alexandria via LeMat-Bulk. Energies are from PBE.

Properties
**ΔH_f (0 K)**: 0.1673 eV per atom
**Crystal system**: cubic
**E**: -6.992 eV per atom

Geometry as CIF:
```
data_MnCrInCo
_symmetry_space_group_name_H-M 'P 1'
_symmetry_Int_Tables_number 1
_symmetry_space_group_name_Hall 'P 1'
_cell_length_a 4.3409
_cell_length_b 4.3409
_cell_length_c 4.3409
_cell_angle_alpha 60.00
_cell_angle_beta 60.00
_cell_angle_gamma 60.00
loop_
_atom_site_label
_atom_site_fract_x
_atom_site_fract_y
_atom_site_fract_z
Mn1 0.7500 0.7500 0.7500
In1 0.2500 0.2500 0.2500
Cr1 0.5000 0.5000 0.5000
Co1 0.0000 0.0000 0.0000
```

---

(4)
Here is crystalline Cr2InCoN at its relaxed geometry from Alexandria via LeMat-Bulk. Energies are from PBE.

Properties
**Crystal system**: tetragonal
**E**: -7.563 eV per atom
**Formation energy without anion corrections**: -0.396 eV per formula unit

Geometry as CIF:
```
data_Cr2InCoN
_symmetry_space_group_name_H-M 'P 1'
_symmetry_Int_Tables_number 1
_symmetry_space_group_name_Hall 'P 1'
_cell_length_a 3.9042
_cell_length_b 3.9042
_cell_length_c 3.9485
_cell_angle_alpha 90.00
_cell_angle_beta 90.00
_cell_angle_gamma 90.00
loop_
_atom_site_label
_atom_site_fract_x
_atom_site_fract_y
_atom_site_fract_z
Cr1 0.5000 0.0000 0.0000
Cr2 0.0000 0.5000 0.0000
Co1 0.0000 0.0000 0.5000
In1 0.5000 0.5000 0.5000
N1 0.0000 0.0000 0.0000
```

---

(5)
Here is crystalline CrInCo2Ru at its relaxed geometry from Alexandria via LeMat-Bulk. Energies are from PBE.

Properties
**ΔH_f (0 K)**: 1.1602 eV per atom
**Energy above the most stable polymorph in this dataset**: 234.3 meV per atom
**Crystal system**: tetragonal
**E**: -6.010 eV per atom

Geometry as CIF:
```
data_CrInCo2Ru
_symmetry_space_group_name_H-M 'P 1'
_symmetry_Int_Tables_number 1
_symmetry_space_group_name_Hall 'P 1'
_cell_length_a 4.5654
_cell_length_b 4.4815
_cell_length_c 4.5654
_cell_angle_alpha 90.00
_cell_angle_beta 90.00
_cell_angle_gamma 90.00
loop_
_atom_site_label
_atom_site_fract_x
_atom_site_fract_y
_atom_site_fract_z
Co1 0.5000 0.0000 0.0000
Ru1 0.0000 0.0000 0.0000
In1 0.5000 0.5000 0.5000
Cr1 0.0000 0.5000 0.0000
Co2 0.0000 0.0000 0.5000
```

---

(6)
Here is crystalline CrInCo2Ru at its relaxed geometry from Alexandria via LeMat-Bulk. Energies are from PBE.

Properties
**ΔH_f (0 K)**: 0.9259 eV per atom
**Energy above the most stable polymorph in this dataset**: 0.0 meV per atom
**Crystal system**: tetragonal
**E**: -6.244 eV per atom

Geometry as CIF:
```
data_CrInCo2Ru
_symmetry_space_group_name_H-M 'P 1'
_symmetry_Int_Tables_number 1
_symmetry_space_group_name_Hall 'P 1'
_cell_length_a 4.2351
_cell_length_b 4.4508
_cell_length_c 4.2351
_cell_angle_alpha 90.00
_cell_angle_beta 90.00
_cell_angle_gamma 90.00
loop_
_atom_site_label
_atom_site_fract_x
_atom_site_fract_y
_atom_site_fract_z
Ru1 0.0000 0.5000 0.0000
In1 0.5000 0.5000 0.5000
Co1 0.5000 0.0000 0.0000
Cr1 0.0000 0.0000 0.0000
Co2 0.0000 0.0000 0.5000
```

---

(7)
Here is crystalline ScCrInCo at its relaxed geometry from Alexandria via LeMat-Bulk. Energies are from PBE.

Properties
**ΔH_f (0 K)**: -0.0558 eV per atom
**Crystal system**: cubic
**E**: -6.506 eV per atom

Geometry as CIF:
```
data_ScCrInCo
_symmetry_space_group_name_H-M 'P 1'
_symmetry_Int_Tables_number 1
_symmetry_space_group_name_Hall 'P 1'
_cell_length_a 4.5145
_cell_length_b 4.5145
_cell_length_c 4.5145
_cell_angle_alpha 60.00
_cell_angle_beta 60.00
_cell_angle_gamma 60.00
loop_
_atom_site_label
_atom_site_fract_x
_atom_site_fract_y
_atom_site_fract_z
Cr1 0.5000 0.5000 0.5000
In1 0.2500 0.2500 0.2500
Co1 0.0000 0.0000 0.0000
Sc1 0.7500 0.7500 0.7500
```

---

(8)
Here is crystalline TaCrInCo2 at its relaxed geometry from Alexandria via LeMat-Bulk. Energies are from PBE.

Properties
**ΔH_f (0 K)**: 1.2496 eV per atom
**Crystal system**: tetragonal
**E**: -6.436 eV per atom

Geometry as CIF:
```
data_TaCrInCo2
_symmetry_space_group_name_H-M 'P 1'
_symmetry_Int_Tables_number 1
_symmetry_space_group_name_Hall 'P 1'
_cell_length_a 4.5149
_cell_length_b 4.6925
_cell_length_c 4.5149
_cell_angle_alpha 90.00
_cell_angle_beta 90.00
_cell_angle_gamma 90.00
loop_
_atom_site_label
_atom_site_fract_x
_atom_site_fract_y
_atom_site_fract_z
In1 0.5000 0.5000 0.5000
Ta1 0.0000 0.0000 0.0000
Cr1 0.0000 0.5000 0.0000
Co1 0.5000 0.0000 0.0000
Co2 0.0000 0.0000 0.5000
```

---

(9)
Here is crystalline Ti2CrInCo at its relaxed geometry from Alexandria via LeMat-Bulk. Energies are from PBE.

Properties
**ΔH_f (0 K)**: 1.8587 eV per atom
**Crystal system**: tetragonal
**E**: -5.193 eV per atom

Geometry as CIF:
```
data_Ti2CrInCo
_symmetry_space_group_name_H-M 'P 1'
_symmetry_Int_Tables_number 1
_symmetry_space_group_name_Hall 'P 1'
_cell_length_a 4.9481
_cell_length_b 4.4818
_cell_length_c 4.9481
_cell_angle_alpha 90.00
_cell_angle_beta 90.00
_cell_angle_gamma 90.00
loop_
_atom_site_label
_atom_site_fract_x
_atom_site_fract_y
_atom_site_fract_z
Ti1 0.5000 0.0000 0.0000
In1 0.0000 0.0000 0.0000
Ti2 0.0000 0.0000 0.5000
Cr1 0.5000 0.5000 0.5000
Co1 0.0000 0.5000 0.0000
```

---

(10)
Here is crystalline ZrCrInCo2 at its relaxed geometry from Alexandria via LeMat-Bulk. Energies are from PBE.

Properties
**ΔH_f (0 K)**: 1.2883 eV per atom
**Crystal system**: tetragonal
**E**: -5.736 eV per atom

Geometry as CIF:
```
data_ZrCrInCo2
_symmetry_space_group_name_H-M 'P 1'
_symmetry_Int_Tables_number 1
_symmetry_space_group_name_Hall 'P 1'
_cell_length_a 4.5708
_cell_length_b 4.8274
_cell_length_c 4.5708
_cell_angle_alpha 90.00
_cell_angle_beta 90.00
_cell_angle_gamma 90.00
loop_
_atom_site_label
_atom_site_fract_x
_atom_site_fract_y
_atom_site_fract_z
Co1 0.0000 0.0000 0.5000
In1 0.5000 0.5000 0.5000
Zr1 0.0000 0.0000 0.0000
Co2 0.5000 0.0000 0.0000
Cr1 0.0000 0.5000 0.0000
```

---

(11)
Here is crystalline CrCoIr at its relaxed geometry from Alexandria via LeMat-Bulk. Energies are from PBE.

Properties
**ΔH_f (0 K)**: 0.2463 eV per atom
**Energy above the most stable polymorph in this dataset**: 313.4 meV per atom
**Crystal system**: orthorhombic
**E**: -8.284 eV per atom

Geometry as CIF:
```
data_CrCoIr
_symmetry_space_group_name_H-M 'P 1'
_symmetry_Int_Tables_number 1
_symmetry_space_group_name_Hall 'P 1'
_cell_length_a 6.6896
_cell_length_b 6.4749
_cell_length_c 2.5958
_cell_angle_alpha 83.32
_cell_angle_beta 74.01
_cell_angle_gamma 22.67
loop_
_atom_site_label
_atom_site_fract_x
_atom_site_fract_y
_atom_site_fract_z
Ir1 0.6700 0.6700 0.3300
Co1 0.9920 0.9920 0.0080
Cr1 0.3380 0.3380 0.6620
```

---

(12)
Here is crystalline Cr3CoIr3 at its relaxed geometry from Alexandria via LeMat-Bulk. Energies are from PBE.

Properties
**ΔH_f (0 K)**: 0.0863 eV per atom
**Crystal system**: orthorhombic
**E**: -8.851 eV per atom

Geometry as CIF:
```
data_Cr3CoIr3
_symmetry_space_group_name_H-M 'P 1'
_symmetry_Int_Tables_number 1
_symmetry_space_group_name_Hall 'P 1'
_cell_length_a 5.8235
_cell_length_b 5.8235
_cell_length_c 5.5060
_cell_angle_alpha 90.00
_cell_angle_beta 90.00
_cell_angle_gamma 87.33
loop_
_atom_site_label
_atom_site_fract_x
_atom_site_fract_y
_atom_site_fract_z
Cr1 0.0000 0.0000 0.7875
Ir1 0.7433 0.7433 0.5000
Cr2 0.0000 0.5000 0.7778
Cr3 0.0000 0.0000 0.2125
Co1 0.2662 0.2662 0.0000
Cr4 0.5000 0.0000 0.2222
Ir2 0.2567 0.2567 0.5000
Ir3 0.6992 0.3008 0.0000
Cr5 0.5000 0.0000 0.7778
Cr6 0.0000 0.5000 0.2222
Ir4 0.2685 0.7315 0.5000
Ir5 0.7315 0.2685 0.5000
Co2 0.7338 0.7338 0.0000
Ir6 0.3008 0.6992 0.0000
```

---

(13)
Here is crystalline Cr2Co2Ir at its relaxed geometry from Alexandria via LeMat-Bulk. Energies are from PBE.

Properties
**ΔH_f (0 K)**: 0.1994 eV per atom
**Energy above the most stable polymorph in this dataset**: 163.2 meV per atom
**Crystal system**: tetragonal
**E**: -8.264 eV per atom

Geometry as CIF:
```
data_Cr2Co2Ir
_symmetry_space_group_name_H-M 'P 1'
_symmetry_Int_Tables_number 1
_symmetry_space_group_name_Hall 'P 1'
_cell_length_a 6.7499
_cell_length_b 6.7499
_cell_length_c 2.6128
_cell_angle_alpha 90.00
_cell_angle_beta 90.00
_cell_angle_gamma 90.00
loop_
_atom_site_label
_atom_site_fract_x
_atom_site_fract_y
_atom_site_fract_z
Co1 0.1784 0.6784 0.5000
Ir1 0.0000 0.0000 0.0000
Co2 0.6784 0.8216 0.5000
Cr1 0.6154 0.1154 0.0000
Co3 0.8216 0.3216 0.5000
Co4 0.3216 0.1784 0.5000
Ir2 0.5000 0.5000 0.0000
Cr2 0.8846 0.6154 0.0000
Cr3 0.3846 0.8846 0.0000
Cr4 0.1154 0.3846 0.0000
```